1.
Entry from Alexandria via LeMat-Bulk: a geometry-optimized NaLi2Au9 structure (PBE-GGA).

Results
ΔH_f (0 K): -3.5 eV per formula unit
Symmetry: P4/mmm (123)
Calculated volume: 17.33 Å³ per atom
E_tot: -3.18 eV per atom

Cell: 4.1373 4.1373 12.1466 Å, 90.00 90.00 90.00°
Closest atoms and distances in Å follow each position.
Fractional coordinates of all 12 atoms:
1 Na 0.0000 0.0000 0.0000  12 Au 2.93-2.96
2 Li 0.0000 0.0000 0.3376  12 Au 2.86-2.93
3 Li 0.0000 0.0000 0.6624  12 Au 2.86-2.93
4 Au 0.5000 0.5000 0.0000  4 Na 2.93, 8 Au 2.96
5 Au 0.5000 0.5000 0.3373  8 Au 2.86, 4 Li 2.93
6 Au 0.5000 0.5000 0.6627  8 Au 2.86, 4 Li 2.93
7 Au 0.5000 0.0000 0.1746  8 Au 2.86-2.96, 2 Li 2.86, 2 Na 2.96
8 Au 0.5000 0.0000 0.5000  4 Li 2.86, 8 Au 2.86-2.93
9 Au 0.5000 0.0000 0.8254  8 Au 2.86-2.96, 2 Li 2.86, 2 Na 2.96
10 Au 0.0000 0.5000 0.1746  8 Au 2.86-2.96, 2 Li 2.86, 2 Na 2.96
11 Au 0.0000 0.5000 0.5000  4 Li 2.86, 8 Au 2.86-2.93
12 Au 0.0000 0.5000 0.8254  8 Au 2.86-2.96, 2 Li 2.86, 2 Na 2.96

2.
Entry from Alexandria via LeMat-Bulk: a geometry-optimized Na2LiAu3 structure (PBE-GGA).

Results
ΔH_f (0 K): -2.6 eV per formula unit
Symmetry: P6_3/mmc (194)
Calculated volume: 20.00 Å³ per atom
E_tot: -2.83 eV per atom

Cell: 5.5823 5.5823 8.8937 Å, 90.00 90.00 120.00°
Closest atoms and distances in Å follow each position.
Fractional coordinates of all 12 atoms:
1 Na 0.6667 0.3333 0.0673  9 Au 3.23-3.24, 4 Na 3.25-3.44, 3 Li 3.28
2 Na 0.3333 0.6667 0.9327  9 Au 3.23-3.24, 4 Na 3.25-3.44, 3 Li 3.28
3 Na 0.3333 0.6667 0.5673  9 Au 3.23-3.24, 4 Na 3.25-3.44, 3 Li 3.28
4 Na 0.6667 0.3333 0.4327  9 Au 3.23-3.24, 4 Na 3.25-3.44, 3 Li 3.28
5 Li 0.0000 0.0000 0.0000  6 Au 2.75
6 Li 0.0000 0.0000 0.5000  6 Au 2.75
7 Au 0.8323 0.6646 0.7500  2 Li 2.75, 4 Au 2.77-2.81
8 Au 0.1677 0.8323 0.2500  2 Li 2.75, 4 Au 2.77-2.81
9 Au 0.6646 0.8323 0.2500  2 Li 2.75, 4 Au 2.77-2.81
10 Au 0.3354 0.1677 0.7500  2 Li 2.75, 4 Au 2.77-2.81
11 Au 0.8323 0.1677 0.7500  2 Li 2.75, 4 Au 2.77-2.81
12 Au 0.1677 0.3354 0.2500  2 Li 2.75, 4 Au 2.77-2.81

Fermi-level density of states (computed, states/eV/f.u.): 4.7, 1.4